Entry 1:
Here is crystalline La8Tl2Rh at its relaxed geometry from Alexandria via LeMat-Bulk. Energies are from PBE-GGA.

a b c (Å): 16.496 7.520 5.965
angles (deg): 90.00 111.09 90.00
Space group C2/m (No. 12)
Asymmetric unit:
La: 0.000 0.228 0.000 (multiplicity 4)
La: 0.131 0.233 0.631 (multiplicity 8)
La: 0.142 0.500 0.141 (multiplicity 4)
Tl: 0.193 0.000 0.192 (multiplicity 4)
Rh: 0.000 0.500 0.500 (multiplicity 2)

ΔE_f = -0.246 eV/atom
Uncorrected energy = -108.41 eV for the cell shown
Relative energy among the computed polymorphs = 0.060 eV/atom

=====

Entry 2:
Here is crystalline La2TlRh at its relaxed geometry from Alexandria via LeMat-Bulk. Energies are from PBE-GGA.

a b c (Å): 4.089 4.866 11.446
angles (deg): 90.00 90.00 90.00
Space group Amm2 (No. 38)
Asymmetric unit:
La: 0.000 0.000 0.000 (multiplicity 2)
La: 0.500 0.000 0.302 (multiplicity 2)
Tl: 0.500 0.000 0.596 (multiplicity 2)
Rh: 0.000 0.000 0.776 (multiplicity 2)

ΔE_f = -0.513 eV/atom
Uncorrected energy = -43.25 eV for the cell shown
Relative energy among the computed polymorphs = 0.096 eV/atom

=====

Entry 3:
Here is crystalline LaTl2Rh2 at its relaxed geometry from Alexandria via LeMat-Bulk. Energies are from PBE-GGA.

a b c (Å): 7.483 7.483 3.915
angles (deg): 90.00 90.00 90.00
Space group P4/mbm (No. 127)
Asymmetric unit:
La: 0.000 0.000 0.000 (multiplicity 2)
Tl: 0.154 0.346 0.500 (multiplicity 4)
Rh: 0.138 0.638 0.000 (multiplicity 4)

ΔE_f = -0.249 eV/atom
Uncorrected energy = -51.21 eV for the cell shown
Relative energy among the computed polymorphs = 0.022 eV/atom

=====

Entry 4:
Here is crystalline La11Tl9Rh4 at its relaxed geometry from Alexandria via LeMat-Bulk. Energies are from PBE-GGA.

a b c (Å): 15.351 22.828 3.892
angles (deg): 90.00 90.00 90.00
Space group Cmmm (No. 65)
Asymmetric unit:
La: 0.000 0.000 0.000 (multiplicity 2)
La: 0.000 0.161 0.000 (multiplicity 4)
La: 0.000 0.374 0.000 (multiplicity 4)
La: 0.187 0.500 0.000 (multiplicity 4)
La: 0.249 0.332 0.000 (multiplicity 8)
Tl: 0.000 0.500 0.500 (multiplicity 2)
Tl: 0.103 0.262 0.500 (multiplicity 8)
Tl: 0.148 0.071 0.500 (multiplicity 8)
Rh: 0.154 0.398 0.500 (multiplicity 8)

ΔE_f = -0.576 eV/atom
Uncorrected energy = -237.44 eV for the cell shown

=====

Entry 5:
Here is crystalline LaTlRh2 at its relaxed geometry from Alexandria via LeMat-Bulk. Energies are from PBE-GGA.

a b c (Å): 4.038 4.038 10.025
angles (deg): 90.00 90.00 90.00
Space group I-4m2 (No. 119)
Asymmetric unit:
La: 0.000 0.000 0.000 (multiplicity 2)
Tl: 0.000 0.500 0.250 (multiplicity 2)
Rh: 0.000 0.000 0.500 (multiplicity 2)
Rh: 0.000 0.500 0.750 (multiplicity 2)

ΔE_f = -0.375 eV/atom
Uncorrected energy = -46.99 eV for the cell shown

=====

Entry 6:
Here is crystalline La2TlRh at its relaxed geometry from Alexandria via LeMat-Bulk. Energies are from PBE-GGA.

a b c (Å): 5.133 5.133 4.098
angles (deg): 90.00 90.00 90.00
Space group P4/mmm (No. 123)
Asymmetric unit:
La: 0.000 0.500 0.000 (multiplicity 2)
Tl: 0.000 0.000 0.500 (multiplicity 1)
Rh: 0.500 0.500 0.500 (multiplicity 1)

ΔE_f = -0.412 eV/atom
Uncorrected energy = -21.22 eV for the cell shown
Relative energy among the computed polymorphs = 0.197 eV/atom